Record 1
First-principles (PBE) data for FeSbW2 after structural relaxation, as listed in the Alexandria database.

Geometry as POSCAR:
```
FeSbW2
1.0
2.6888 -3.9624 0.0000
2.6888 3.9624 0.0000
-0.0075 0.0000 3.0619
Fe Sb W
1 1 2
direct
0.0000 0.0000 0.0000
0.5000 0.5000 0.0000
0.0000 0.5000 0.5000
0.5000 0.0000 0.5000
```

Summary:
* calculated volume: 65.2 Å³/cell
* crystal system: monoclinic



Record 2
First-principles (PBE) data for FeSb4W after structural relaxation, as listed in the Alexandria database.

Geometry as POSCAR:
```
FeSb4W
1.0
0.0000 4.2562 4.2562
4.2562 0.0000 4.2562
4.2562 4.2562 0.0000
Fe Sb W
1 4 1
direct
0.0000 0.0000 0.0000
0.1236 0.6255 0.6255
0.6255 0.1236 0.6255
0.6255 0.6255 0.1236
0.6255 0.6255 0.6255
0.2500 0.2500 0.2500
```

Summary:
* calculated volume: 154.2 Å³/cell
* crystal system: cubic



Record 3
First-principles (PBE) data for Fe2SbW after structural relaxation, as listed in the Alexandria database.

Geometry as POSCAR:
```
Fe2SbW
1.0
4.1540 -1.5164 0.0000
4.1540 1.5164 0.0000
-0.8331 0.0000 4.8453
Fe Sb W
2 1 1
direct
0.2430 0.2430 0.2193
0.7570 0.7570 0.7807
0.0000 0.0000 0.5000
0.5000 0.5000 0.0000
```

Summary:
* calculated volume: 61.0 Å³/cell
* crystal system: monoclinic



Record 4
First-principles (PBE) data for FeSb2W after structural relaxation, as listed in the Alexandria database.

Geometry as POSCAR:
```
FeSb2W
1.0
0.0000 3.2598 3.2598
3.2598 0.0000 3.2598
3.2598 3.2598 0.0000
Fe Sb W
1 2 1
direct
0.0000 0.0000 0.0000
0.2500 0.2500 0.2500
0.7500 0.7500 0.7500
0.5000 0.5000 0.5000
```

Summary:
* calculated volume: 69.3 Å³/cell
* crystal system: cubic



Record 5
First-principles (PBE) data for FeSbW2 after structural relaxation, as listed in the Alexandria database.

Geometry as POSCAR:
```
FeSbW2
1.0
-1.8863 1.8863 9.6671
1.8863 -1.8863 9.6671
1.8863 1.8863 -9.6671
Fe Sb W
2 2 4
direct
0.0000 0.0000 0.0000
0.7500 0.2500 0.5000
0.2500 0.7500 0.5000
0.5000 0.5000 0.0000
0.1171 0.6250 0.9921
0.3750 0.3671 0.4921
0.6329 0.1250 0.0079
0.8750 0.8829 0.5079
```

Summary:
* calculated volume: 137.6 Å³/cell
* crystal system: tetragonal



Record 6
First-principles (PBE) data for Fe2SbW after structural relaxation, as listed in the Alexandria database.

Geometry as POSCAR:
```
Fe2SbW
1.0
4.3945 -1.5286 0.0000
4.3945 1.5286 0.0000
-1.0166 0.0000 4.4185
Fe Sb W
2 1 1
direct
0.0000 0.0000 0.0000
0.7432 0.7432 0.2652
0.4946 0.4946 0.4845
0.2612 0.2612 0.8268
```

Summary:
* calculated volume: 59.4 Å³/cell
* crystal system: monoclinic



Record 7
First-principles (PBE) data for FeSb3W after structural relaxation, as listed in the Alexandria database.

Geometry as POSCAR:
```
FeSb3W
1.0
4.8846 0.0000 0.0000
0.0000 4.8846 0.0000
0.0000 0.0000 4.8846
Fe Sb W
1 3 1
direct
0.0000 0.0000 0.0000
0.0000 0.0000 0.5000
0.0000 0.5000 0.0000
0.5000 0.0000 0.0000
0.5000 0.5000 0.5000
```

Summary:
* calculated volume: 116.5 Å³/cell
* crystal system: cubic



Record 8
First-principles (PBE) data for FeSb2W after structural relaxation, as listed in the Alexandria database.

Geometry as POSCAR:
```
FeSb2W
1.0
4.2504 0.0000 0.0000
0.0000 1.8105 4.9454
0.0000 -1.8105 4.9454
Fe Sb W
1 2 1
direct
0.0000 0.0000 0.0000
0.0000 0.2787 0.2787
0.5000 0.5741 0.5741
0.5000 0.8612 0.8612
```

Summary:
* calculated volume: 76.1 Å³/cell
* crystal system: orthorhombic



no.,electronic total energy (eV per atom)
1,-9.013
2,-4.862
3,-8.075
4,-6.850
5,-8.737
6,-8.137
7,-5.537
8,-7.092